# 1
# YSbMo2, relaxed, DFT PBE-GGA
# - formation energy (no corrections) (eV/atom) = 0.10
# - total moment (μB/cell) = 0.00
data_YSbMo2
_symmetry_space_group_name_H-M 'P 1 m 1'
_symmetry_Int_Tables_number 6
_symmetry_space_group_name_Hall 'P -2y'
_cell_length_a 3.4084
_cell_length_b 4.5860
_cell_length_c 5.4173
_cell_angle_alpha 90.00
_cell_angle_beta 103.40
_cell_angle_gamma 90.00
loop_
_atom_site_label
_atom_site_type_symbol
_atom_site_fract_x
_atom_site_fract_y
_atom_site_fract_z
_atom_site_occupancy
Y1 Y 0.0000 0.0000 0.0000 1
Sb1 Sb 0.4063 0.5000 0.7834 1
Mo1 Mo 0.4368 0.0000 0.4835 1
Mo2 Mo 0.7310 0.5000 0.3534 1

# 2
# YSbMo2, relaxed, DFT PBE-GGA
# - formation energy (no corrections) (eV/atom) = 0.25
# - total moment (μB/cell) = 0.00
data_YSbMo2
_symmetry_space_group_name_H-M 'P 1 2/m 1'
_symmetry_Int_Tables_number 10
_symmetry_space_group_name_Hall '-P 2y'
_cell_length_a 3.3394
_cell_length_b 4.9462
_cell_length_c 5.1735
_cell_angle_alpha 90.00
_cell_angle_beta 92.11
_cell_angle_gamma 90.00
loop_
_atom_site_label
_atom_site_type_symbol
_atom_site_fract_x
_atom_site_fract_y
_atom_site_fract_z
_atom_site_occupancy
Y1 Y 0.0000 0.0000 0.0000 1
Sb1 Sb 0.5000 0.0000 0.5000 1
Mo1 Mo 0.3947 0.5000 0.7798 1

- Which formula does entry 2 have?
  YSbMo2